First-principles (PBE) data for a geometry-optimized Ce3Ge2Rh7 structure, as listed in Alexandria via LeMat-Bulk.

a = 4.062 Å, b = 28.412 Å, c = 4.018 Å
α = 90.00°, β = 90.00°, γ = 90.00°
Space group Cmmm (No. 65)
Asymmetric unit:
Ce  0.000  0.000  0.000 x2
Ce  0.000  0.201  0.000 x4
Ge  0.000  0.415  0.500 x4
Rh  0.000  0.133  0.500 x4
Rh  0.000  0.289  0.500 x4
Rh  0.000  0.365  0.000 x4
Rh  0.000  0.500  0.500 x2

Results
- Energy above the lowest structure with this stoichiometry: 1.77 eV per formula unit
- Calculated formation energy: -7.451 eV/f.u.
- VASP energy: -7.162 eV/atom
- Fermi-level density of states: 22.24 states/eV per cell

First-principles (PBE) data for a geometry-optimized Ce4GeRh12 structure, as listed in Alexandria via LeMat-Bulk.

a = 8.345 Å, b = 8.345 Å, c = 8.345 Å
α = 90.00°, β = 90.00°, γ = 90.00°
Space group Im-3m (No. 229)
Asymmetric unit:
Ce  0.250  0.250  0.250 x8
Ge  0.000  0.000  0.000 x2
Rh  0.000  0.000  0.286 x12
Rh  0.000  0.250  0.500 x12

Results
- Calculated formation energy: -11.347 eV/f.u.
- VASP energy: -7.525 eV/atom
- Fermi-level density of states: 33.59 states/eV per cell

First-principles (PBE) data for a geometry-optimized CeGe3Rh5 structure, as listed in Alexandria via LeMat-Bulk.

a = 4.041 Å, b = 12.727 Å, c = 12.229 Å
α = 90.00°, β = 90.00°, γ = 90.00°
Space group Cmcm (No. 63)
Asymmetric unit:
Ce  0.000  0.181  0.250 x4
Ge  0.000  0.102  0.750 x4
Ge  0.000  0.383  0.550 x8
Rh  0.000  0.000  0.000 x4
Rh  0.000  0.200  0.572 x8
Rh  0.000  0.444  0.141 x8

Results
- Calculated formation energy: -5.148 eV/f.u.
- VASP energy: -6.855 eV/atom
- Fermi-level density of states: 44.65 states/eV per cell

First-principles (PBE) data for a geometry-optimized Ce2Ge3Rh structure, as listed in Alexandria via LeMat-Bulk.

a = 3.969 Å, b = 4.403 Å, c = 7.300 Å
α = 90.00°, β = 90.00°, γ = 90.00°
Space group Pmm2 (No. 25)
Asymmetric unit:
Ce  0.000  0.000  0.000 x1
Ce  0.000  0.500  0.483 x1
Ge  0.500  0.000  0.653 x1
Ge  0.500  0.500  0.160 x1
Ge  0.500  0.500  0.820 x1
Rh  0.500  0.000  0.316 x1

Results
- Energy above the lowest structure with this stoichiometry: 0.06 eV per formula unit
- Calculated formation energy: -4.689 eV/f.u.
- VASP energy: -6.293 eV/atom
- Fermi-level density of states: 7.62 states/eV per cell

Repeat the fourth record exactly.
First-principles (PBE) data for a geometry-optimized Ce2Ge3Rh structure, as listed in Alexandria via LeMat-Bulk.

a = 3.969 Å, b = 4.403 Å, c = 7.300 Å
α = 90.00°, β = 90.00°, γ = 90.00°
Space group Pmm2 (No. 25)
Asymmetric unit:
Ce  0.000  0.000  0.000 x1
Ce  0.000  0.500  0.483 x1
Ge  0.500  0.000  0.653 x1
Ge  0.500  0.500  0.160 x1
Ge  0.500  0.500  0.820 x1
Rh  0.500  0.000  0.316 x1

Results
- Energy above the lowest structure with this stoichiometry: 0.06 eV per formula unit
- Calculated formation energy: -4.689 eV/f.u.
- VASP energy: -6.293 eV/atom
- Fermi-level density of states: 7.62 states/eV per cell